1.
Here is a PBEsol-optimized structure of KY2Co from the Alexandria database. Energies are from meta-GGA SCAN.

```
4
Lattice="3.761 0.000 0.000 0.000 3.761 0.000 0.000 0.000 9.079" Properties=species:S:1:pos:R:3 pbc="T T T"
Co 0.000 0.000 3.258
K 1.880 1.880 6.546
Y 0.000 0.000 0.778
Y 1.880 1.880 3.036
```

Its formation energy from the elements is 0.318 eV per atom. The calculation puts the density at 3.567 g cm⁻³. The total energy is -20.011 eV per atom. As for the total magnetization: 0.000 μB/cell.

---

2.
Here is a PBEsol-optimized structure of K2YCo from the Alexandria database. Energies are from meta-GGA SCAN.

```
4
Lattice="-1.757 2.188 -4.600 2.624 -0.948 -4.609 -2.239 -3.116 -3.783" Properties=species:S:1:pos:R:3 pbc="T T T"
Co -0.343 -0.469 -3.248
K 0.000 0.000 0.000
K -1.028 -1.407 -9.744
Y -0.686 -0.938 -6.496
```

Its formation energy from the elements is 1.017 eV per atom. The calculation puts the density at 3.393 g cm⁻³. The total energy is -14.434 eV per atom. As for the total magnetization: 0.062 μB/cell.

---

3.
Here is a PBEsol-optimized structure of K2YCo from the Alexandria database. Energies are from meta-GGA SCAN.

```
4
Lattice="-1.710 -2.748 0.148 1.872 -1.289 -2.309 7.489 -4.205 8.421" Properties=species:S:1:pos:R:3 pbc="T T T"
Co 3.826 -4.121 3.130
K 5.241 -2.943 5.893
K 2.248 -1.262 2.528
Y 0.081 -2.019 -1.080
```

Its formation energy from the elements is 1.015 eV per atom. The calculation puts the density at 2.972 g cm⁻³. The total energy is -14.436 eV per atom. As for the total magnetization: 2.209 μB/cell.